# 1
The following is a DFT calculation (PBE) of an optimized crystal structure of CaTcRh.

Cell lengths 5.0466, 5.0466, 9.0795 Å; angles 90.00, 90.00, 120.00 degrees
Space group P6_3/mmc (No. 194)
Asymmetric unit:
Ca 0.3333 0.6667 0.2500
Tc 0.0000 0.0000 0.2500
Rh 0.0000 0.0000 0.0000

Computed properties:
Polymorph energy (0 for the lowest one), kJ/mol of formula units: 466
D(E_F), states/eV per cell: 9.3
ΔH_f (0 K), meV/atom: 1507

=====

# 2
The following is a DFT calculation (PBE) of an optimized crystal structure of HfSeS2N.

Cell lengths 5.044, 5.044, 4.002 Å; angles 90.00, 90.00, 90.00 degrees
Space group P4/mmm (No. 123)
Asymmetric unit:
Hf 0.000 0.000 0.000
Se 0.500 0.500 0.500
S 0.000 0.500 0.000
N 0.000 0.000 0.500

Computed properties:
Polymorph energy (0 for the lowest one), kJ/mol of formula units: 0
D(E_F), states/eV per cell: 6.1
Raw formation energy, eV per atom: 0.19

=====

# 3
The following is a DFT calculation (PBE) of an optimized crystal structure of Sm4AsPbSe2.

Cell lengths 7.400, 4.287, 7.449 Å; angles 90.00, 109.51, 90.00 degrees
Space group P2/m (No. 10)
Asymmetric unit:
Sm 0.245 0.000 0.240
Sm 0.254 0.500 0.760
As 0.000 0.500 0.000
Pb 0.000 0.000 0.500
Se 0.500 0.000 0.000
Se 0.500 0.500 0.500

Computed properties:
D(E_F), states/eV per cell: 2.1
Raw formation energy, eV per atom: -1.43